# CrRe2As (meta-GGA SCAN, PBEsol geometry)
data_CrRe2As
_chemical_formula_sum 'Cr2 Re4 As2'
_space_group_name_H-M_alt 'C m m 2'
_space_group_IT_number 35
_cell_length_a 2.981
_cell_length_b 4.556
_cell_length_c 8.340
_cell_angle_alpha 90.00
_cell_angle_beta 90.00
_cell_angle_gamma 90.00
loop_
_space_group_symop_operation_xyz
'x,y,z'
'-x,-y,z'
'-x,y,z'
'x,-y,z'
'x+1/2,y+1/2,z'
'-x+1/2,-y+1/2,z'
'-x+1/2,y+1/2,z'
'x+1/2,-y+1/2,z'
loop_
_atom_site_label
_atom_site_type_symbol
_atom_site_fract_x
_atom_site_fract_y
_atom_site_fract_z
Cr1 Cr 0.000 0.000 0.000
Re1 Re 0.000 0.000 0.496
Re2 Re 0.000 0.500 0.758
As1 As 0.000 0.500 0.230
# **N(E_F)**: 0.8893 states/eV per atom
# **Formation energy**: 437.9 meV per atom